(1)
Computed, not measured: crystalline NaPaNO at its relaxed geometry at the PBE level of DFT.

a = 4.8489 Å, b = 4.8489 Å, c = 4.6575 Å
α = 90.00°, β = 90.00°, γ = 90.00°
Closest atoms and distances in Å follow each position.
Fractional coordinates of all 8 atoms:
Na 0.7500 0.7500 0.0003  2 N 2.33, 4 O 2.42
Pa 0.2500 0.7500 0.5000  2 O 2.33, 4 N 2.42
N 0.2500 0.2500 0.4996  2 Na 2.33, 4 Pa 2.42
N 0.7500 0.7500 0.5004  2 Na 2.33, 4 Pa 2.42
O 0.7500 0.2500 0.0000  2 Pa 2.33, 4 Na 2.42
O 0.2500 0.7500 0.0000  2 Pa 2.33, 4 Na 2.42
Na 0.2500 0.2500 0.9997  2 N 2.33, 4 O 2.42
Pa 0.7500 0.2500 0.5000  2 O 2.33, 4 N 2.42

Properties
Uncorrected energy = -7.2913 eV/atom
Energy relative to the lowest polymorph listed for this composition = 0.000 eV/atom
Size of the total moment = 0.05 μB/cell

=====

(2)
Computed, not measured: crystalline Li2ZrZnGa2Ni2 at its relaxed geometry at the PBE level of DFT.

a = 4.2379 Å, b = 4.2379 Å, c = 6.1332 Å
α = 90.00°, β = 90.00°, γ = 90.00°
Closest atoms and distances in Å follow each position.
Fractional coordinates of all 8 atoms:
Zr 0.5000 0.5000 0.0000  4 Ni 2.63, 4 Li 2.75
Ga 0.0000 0.0000 0.0000  4 Ni 2.63, 4 Li 2.75
Li 0.5000 0.0000 0.2859  2 Zn 2.49, 4 Ga 2.49-2.75, 2 Zr 2.75
Zn 0.0000 0.0000 0.5000  4 Li 2.49, 4 Ni 2.60
Ni 0.0000 0.5000 0.2530  2 Zn 2.60, 4 Ga 2.60-2.63, 2 Zr 2.63, 1 Li 2.83
Ga 0.5000 0.5000 0.5000  4 Li 2.49, 4 Ni 2.60
Li 0.0000 0.5000 0.7141  4 Ga 2.49-2.75, 2 Zn 2.49, 2 Zr 2.75
Ni 0.5000 0.0000 0.7470  2 Zn 2.60, 4 Ga 2.60-2.63, 2 Zr 2.63, 1 Li 2.83

Properties
Uncorrected energy = -4.2281 eV/atom
Size of the total moment = 0.01 μB/cell

=====

(3)
Computed, not measured: crystalline InFeAgTe3 at its relaxed geometry at the PBE level of DFT.

a = 8.3849 Å, b = 8.3849 Å, c = 10.2755 Å
α = 90.00°, β = 90.00°, γ = 26.06°
Closest atoms and distances in Å follow each position.
Fractional coordinates of all 12 atoms:
In 0.6789 0.6789 0.2500  2 Ag 2.82, 4 Te 3.02-3.07
Te 0.9654 0.9654 0.7500  2 Fe 2.63
Fe 0.0000 0.0000 0.5000  6 Te 2.56-2.63
Te 0.6045 0.6045 0.9752  2 Fe 2.56, 1 Ag 2.73
Te 0.6045 0.6045 0.5248  2 Fe 2.56, 1 Ag 2.73
Fe 0.0000 0.0000 0.0000  6 Te 2.56-2.63
In 0.3211 0.3211 0.7500  2 Ag 2.82, 4 Te 3.02-3.07
Te 0.3955 0.3955 0.4752  2 Fe 2.56, 1 Ag 2.73
Te 0.3955 0.3955 0.0248  2 Fe 2.56, 1 Ag 2.73
Te 0.0346 0.0346 0.2500  2 Fe 2.63
Ag 0.6927 0.6927 0.7500  2 Te 2.73, 2 In 2.82
Ag 0.3074 0.3074 0.2500  2 Te 2.73, 2 In 2.82

Properties
Uncorrected energy = -3.8952 eV/atom
Size of the total moment = 2.83 μB/cell

=====

(4)
Computed, not measured: crystalline HoPtNO at its relaxed geometry at the PBE level of DFT.

a = 3.8672 Å, b = 3.8672 Å, c = 7.3823 Å
α = 90.00°, β = 90.00°, γ = 90.00°
Closest atoms and distances in Å follow each position.
Fractional coordinates of all 8 atoms:
Ho 0.2500 0.2500 0.1465  4 O 2.22
O 0.2500 0.7500 0.0000  4 Ho 2.22
N 0.2500 0.2500 0.6626  4 Pt 2.28
N 0.7500 0.7500 0.3374  4 Pt 2.28
O 0.7500 0.2500 0.0000  4 Ho 2.22
Ho 0.7500 0.7500 0.8535  4 O 2.22
Pt 0.7500 0.2500 0.5000  4 N 2.28
Pt 0.2500 0.7500 0.5000  4 N 2.28

Properties
Uncorrected energy = -7.0302 eV/atom
Energy relative to the lowest polymorph listed for this composition = 0.294 eV/atom
Size of the total moment = 2.73 μB/cell

=====

(5)
Computed, not measured: crystalline AcNdOs at its relaxed geometry at the PBE level of DFT.

a = 4.9636 Å, b = 4.9636 Å, c = 4.9636 Å
α = 60.00°, β = 60.00°, γ = 60.00°
Closest atoms and distances in Å follow each position.
Fractional coordinates of all 3 atoms:
Ac 0.0000 0.0000 0.0000  4 Nd 3.04
Nd 0.2500 0.2500 0.2500  4 Os 3.04, 4 Ac 3.04
Os 0.5000 0.5000 0.5000  4 Nd 3.04

Properties
Calculated formation energy = 0.8013 eV/atom
Uncorrected energy = -5.8969 eV/atom
Energy relative to the lowest polymorph listed for this composition = 0.000 eV/atom
Size of the total moment = 0.01 μB/cell

=====

(6)
Computed, not measured: crystalline SrRePd at its relaxed geometry at the PBE level of DFT.

a = 4.7986 Å, b = 4.7986 Å, c = 4.7986 Å
α = 60.00°, β = 60.00°, γ = 60.00°
Closest atoms and distances in Å follow each position.
Fractional coordinates of all 3 atoms:
Sr 0.0000 0.0000 0.0000  4 Re 2.94, 4 Pd 2.94
Re 0.7500 0.7500 0.7500  4 Sr 2.94
Pd 0.2500 0.2500 0.2500  4 Sr 2.94

Properties
Uncorrected energy = -4.6498 eV/atom
Energy relative to the lowest polymorph listed for this composition = 0.703 eV/atom
Size of the total moment = 3.33 μB/cell

=====

(7)
Computed, not measured: crystalline TaCuSbIr at its relaxed geometry at the PBE level of DFT.

a = 4.5710 Å, b = 4.5710 Å, c = 4.5710 Å
α = 60.00°, β = 60.00°, γ = 60.00°
Closest atoms and distances in Å follow each position.
Fractional coordinates of all 4 atoms:
Cu 0.7500 0.7500 0.7500  4 Ta 2.80, 4 Sb 2.80
Sb 0.0000 0.0000 0.0000  4 Ir 2.80, 4 Cu 2.80
Ir 0.2500 0.2500 0.2500  4 Ta 2.80, 4 Sb 2.80
Ta 0.5000 0.5000 0.5000  4 Cu 2.80, 4 Ir 2.80

Properties
Uncorrected energy = -7.0195 eV/atom
Energy relative to the lowest polymorph listed for this composition = 0.000 eV/atom
Size of the total moment = 0.00 μB/cell

=====

(8)
Computed, not measured: crystalline CdTcNiGe at its relaxed geometry at the PBE level of DFT.

a = 4.3830 Å, b = 4.3830 Å, c = 4.3830 Å
α = 60.00°, β = 60.00°, γ = 60.00°
Closest atoms and distances in Å follow each position.
Fractional coordinates of all 4 atoms:
Ni 0.7500 0.7500 0.7500  4 Cd 2.68, 4 Ge 2.68
Ge 0.0000 0.0000 0.0000  4 Ni 2.68, 4 Tc 2.68
Tc 0.2500 0.2500 0.2500  4 Cd 2.68, 4 Ge 2.68
Cd 0.5000 0.5000 0.5000  4 Ni 2.68, 4 Tc 2.68

Properties
Uncorrected energy = -5.1562 eV/atom
Size of the total moment = 0.00 μB/cell

=====

(9)
Computed, not measured: crystalline ZrSi at its relaxed geometry at the PBE level of DFT.

a = 14.0773 Å, b = 3.7844 Å, c = 5.3283 Å
α = 90.00°, β = 90.00°, γ = 90.00°
Closest atoms and distances in Å follow each position.
Fractional coordinates of all 16 atoms:
Zr 0.7869 0.7500 0.9985  7 Si 2.75-2.93
Si 0.1455 0.2500 0.4881  2 Si 2.46, 4 Zr 2.75
Zr 0.4626 0.2500 0.7470  7 Si 2.75-2.94
Si 0.6039 0.7500 0.7381  2 Si 2.46, 5 Zr 2.75
Si 0.8545 0.7500 0.5119  2 Si 2.46, 4 Zr 2.75
Si 0.3545 0.7500 0.9881  2 Si 2.46, 4 Zr 2.75
Zr 0.2869 0.7500 0.5015  7 Si 2.75-2.93
Si 0.1039 0.7500 0.7619  2 Si 2.46, 5 Zr 2.75
Zr 0.9626 0.2500 0.7530  7 Si 2.75-2.94
Zr 0.7131 0.2500 0.4985  7 Si 2.75-2.93
Si 0.6455 0.2500 0.0119  2 Si 2.46, 4 Zr 2.75
Si 0.8961 0.2500 0.2381  2 Si 2.46, 5 Zr 2.75
Si 0.3961 0.2500 0.2619  2 Si 2.46, 5 Zr 2.75
Zr 0.5374 0.7500 0.2530  7 Si 2.75-2.94
Zr 0.2131 0.2500 0.0015  7 Si 2.75-2.93
Zr 0.0374 0.7500 0.2470  7 Si 2.75-2.94

Properties
Uncorrected energy = -7.9174 eV/atom
Size of the total moment = 0.01 μB/cell

=====

(10)
Computed, not measured: crystalline Zr2NiBi2Os at its relaxed geometry at the PBE level of DFT.

a = 6.4458 Å, b = 6.4458 Å, c = 7.8801 Å
α = 65.86°, β = 65.86°, γ = 90.00°
Closest atoms and distances in Å follow each position.
Fractional coordinates of all 12 atoms:
Os 0.2500 0.7500 0.5000  4 Zr 2.78, 4 Bi 2.83
Os 0.0000 0.0000 0.0000  4 Zr 2.78, 4 Bi 2.83
Bi 0.8649 0.8750 0.7500  2 Ni 2.75, 2 Os 2.83
Ni 0.7500 0.2500 0.5000  4 Bi 2.75, 4 Zr 2.80
Zr 0.8772 0.3750 0.7500  2 Os 2.78, 2 Ni 2.80
Zr 0.3728 0.8750 0.7500  2 Os 2.78, 2 Ni 2.80
Bi 0.3851 0.3750 0.7500  2 Ni 2.75, 2 Os 2.83
Zr 0.6250 0.6272 0.2500  2 Os 2.78, 2 Ni 2.80
Zr 0.1250 0.1228 0.2500  2 Os 2.78, 2 Ni 2.80
Bi 0.1250 0.6149 0.2500  2 Ni 2.75, 2 Os 2.83
Bi 0.6250 0.1351 0.2500  2 Ni 2.75, 2 Os 2.83
Ni 0.5000 0.5000 0.0000  4 Bi 2.75, 4 Zr 2.80

Properties
Uncorrected energy = -7.3325 eV/atom
Size of the total moment = 0.00 μB/cell

=====

(11)
Computed, not measured: crystalline LaPrGeF2 at its relaxed geometry at the PBE level of DFT.

a = 4.1887 Å, b = 4.1887 Å, c = 7.0316 Å
α = 90.00°, β = 90.00°, γ = 120.00°
Closest atoms and distances in Å follow each position.
Fractional coordinates of all 5 atoms:
Ge 0.0000 0.0000 0.5021  3 Pr 2.96, 3 La 2.99
F 0.6667 0.3333 0.8964  1 La 2.50, 3 Pr 2.64
F 0.3333 0.6667 0.1042  1 Pr 2.52, 3 La 2.63
Pr 0.3333 0.6667 0.7454  4 F 2.52-2.64
La 0.6667 0.3333 0.2518  4 F 2.50-2.63

Properties
Uncorrected energy = -6.1129 eV/atom
Size of the total moment = 0.00 μB/cell

=====

(12)
Computed, not measured: crystalline YBiW at its relaxed geometry at the PBE level of DFT.

a = 4.8476 Å, b = 4.8476 Å, c = 4.8476 Å
α = 60.00°, β = 60.00°, γ = 60.00°
Closest atoms and distances in Å follow each position.
Fractional coordinates of all 3 atoms:
Y 0.7500 0.7500 0.7500  4 W 2.97
Bi 0.2500 0.2500 0.2500  4 W 2.97
W 0.0000 0.0000 0.0000  4 Bi 2.97, 4 Y 2.97

Properties
Uncorrected energy = -6.9920 eV/atom
Energy relative to the lowest polymorph listed for this composition = 0.000 eV/atom
Size of the total moment = 2.39 μB/cell

=====

(13)
Computed, not measured: crystalline YTmAg2Te4 at its relaxed geometry at the PBE level of DFT.

a = 7.0943 Å, b = 7.0943 Å, c = 4.6995 Å
α = 90.00°, β = 90.00°, γ = 90.12°
Closest atoms and distances in Å follow each position.
Fractional coordinates of all 8 atoms:
Ag 0.5000 0.0000 0.0005  4 Te 2.89-2.90
Tm 0.5000 0.5000 0.8042  6 Te 3.01-3.14
Te 0.2033 0.7967 0.7102  2 Ag 2.89, 1 Tm 3.01, 2 Y 3.07-3.16
Te 0.3008 0.3008 0.2889  2 Ag 2.90, 2 Tm 3.03-3.14, 1 Y 3.05
Te 0.6992 0.6992 0.2889  2 Ag 2.90, 2 Tm 3.03-3.14, 1 Y 3.05
Ag 0.0000 0.5000 0.0005  4 Te 2.89-2.90
Te 0.7967 0.2033 0.7102  2 Ag 2.89, 1 Tm 3.01, 2 Y 3.07-3.16
Y 0.0000 0.0000 0.1966  6 Te 3.05-3.16

Properties
Uncorrected energy = -4.5555 eV/atom
Size of the total moment = 0.00 μB/cell